This record from the Alexandria database describes Ce8ReIr3Br4 after structural relaxation. The functional is PBE-GGA.

Lattice parameters (Å, degrees): 8.1954 8.9896 8.1956 117.13 120.00 90.00
With the nearest neighbours (Å) after each atom.
Fractional coordinates of all 16 atoms:
Ce 0.7373 0.6974 0.9674  1 Re 2.78, 2 Ir 2.82
Ir 0.0000 0.5000 0.5000  6 Ce 2.80-2.82
Ce 0.7319 0.6956 0.4638  3 Ir 2.80
Br 0.5000 0.0000 0.0000  6 Ce 3.33
Br 0.0000 0.0000 0.5000  6 Ce 3.30-3.32
Ce 0.7699 0.3026 0.5398  1 Re 2.78, 2 Ir 2.82
Br 0.5000 0.0000 0.5000  6 Ce 3.30-3.32
Ce 0.2301 0.6974 0.9674  1 Re 2.78, 2 Ir 2.82
Ir 0.5000 0.5000 0.5000  6 Ce 2.80-2.82
Ce 0.2681 0.3044 0.5362  3 Ir 2.80
Re 0.0000 0.5000 0.0000  6 Ce 2.78
Ir 0.5000 0.5000 0.0000  6 Ce 2.80-2.82
Ce 0.2627 0.3026 0.0326  1 Re 2.78, 2 Ir 2.82
Ce 0.2301 0.6974 0.4602  1 Re 2.78, 2 Ir 2.82
Ce 0.7699 0.3026 0.0326  1 Re 2.78, 2 Ir 2.82
Br 0.0000 0.0000 0.0000  6 Ce 3.30-3.32

Its total magnetization is 6.02 μB per cell. The uncorrected formation energy comes out at -0.92 eV/atom. Its mass density is 8.23 g/cm³. The space group is R-3m (166).

=====

This record from the Alexandria database describes TaHgAs2 after structural relaxation. The functional is PBE-GGA.

Lattice parameters (Å, degrees): 4.8884 4.8884 5.5254 82.18 82.18 38.37
With the nearest neighbours (Å) after each atom.
Fractional coordinates of all 4 atoms:
As 0.4719 0.4719 0.5671  3 Ta 2.68-2.89, 2 As 2.69, 1 Hg 2.88
Ta 0.7500 0.7500 0.7500  6 As 2.68-2.89
Hg 0.2500 0.2500 0.2500  2 As 2.88, 4 Ta 3.20, 2 Hg 3.21
As 0.0281 0.0281 0.9329  3 Ta 2.68-2.89, 2 As 2.69, 1 Hg 2.88

The value obtained for the total DFT energy (no corrections) is -5.23 eV/atom. Its total magnetization is 0.00 μB per cell. Its mass density is 10.88 g/cm³. The space group is C2/m (12).

=====

This record from the Alexandria database describes MnAuSe2 after structural relaxation. The functional is PBE-GGA.

Lattice parameters (Å, degrees): 9.7043 6.4256 3.1315 90.24 89.84 112.32
With the nearest neighbours (Å) after each atom.
Fractional coordinates of all 8 atoms:
Au 0.9800 0.8712 0.0186  1 Se 2.59, 2 Au 2.75
Se 0.1212 0.3029 0.0209  2 Mn 2.43, 1 Au 2.59
Se 0.6928 0.0686 0.5137  2 Mn 2.43, 1 Au 2.59
Se 0.4875 0.4566 0.5189  3 Mn 2.46-2.50
Au 0.8336 0.5006 0.5166  1 Se 2.59, 2 Au 2.75
Mn 0.5737 0.2375 0.0162  5 Se 2.43-2.50
Mn 0.2403 0.1339 0.5182  5 Se 2.43-2.50
Se 0.3265 0.9148 0.0156  3 Mn 2.45-2.50

Its total magnetization is 6.12 μB per cell. The uncorrected formation energy comes out at -0.19 eV/atom. Its mass density is 7.54 g/cm³. The space group is P-1 (2).